No. 1
## RbMgTlCd2 (PBE)

Data for RbMgTlCd2 after structural relaxation.

Cell lengths 5.6854, 5.6854, 5.6404 Å; angles 90.00, 90.00, 90.00 degrees
Last column: nearest neighbours and their distance in Å.
Fractional positions:
1 Cd 0.5000 0.0000 0.0000  2 Mg 2.84
2 Cd 0.0000 0.5000 0.0000  2 Mg 2.84
3 Tl 0.0000 0.0000 0.5000  2 Mg 2.82
4 Rb 0.5000 0.5000 0.5000  8 Cd 4.00, 4 Tl 4.02
5 Mg 0.0000 0.0000 0.0000  2 Tl 2.82, 4 Cd 2.84

Results
As for the space group: P4/mmm, No. 123. As for the calculated density: 4.91 Mg/m³. As for the density of states at the Fermi level: 2.93 states/eV/cell. Its magnetic moment is 0.0 Bohr magnetons per cell. The value obtained for the formation enthalpy at 0 K is 93 meV/atom.

***

No. 2
## Ba3NbCu (PBE)

Data for Ba3NbCu after structural relaxation.

Cell lengths 6.1168, 6.1168, 6.1168 Å; angles 90.00, 90.00, 90.00 degrees
Last column: nearest neighbours and their distance in Å.
Fractional positions:
1 Ba 0.5000 0.0000 0.0000  2 Cu 3.06
2 Ba 0.0000 0.0000 0.5000  2 Cu 3.06
3 Ba 0.0000 0.5000 0.0000  2 Cu 3.06
4 Cu 0.0000 0.0000 0.0000  6 Ba 3.06
5 Nb 0.5000 0.5000 0.5000  12 Ba 4.33

Results
As for the space group: Pm-3m, No. 221. As for the calculated density: 4.12 Mg/m³. As for the density of states at the Fermi level: 5.12 states/eV/cell. Its magnetic moment is 4.5 Bohr magnetons per cell. The value obtained for the formation enthalpy at 0 K is 800 meV/atom. As for the relative energy among the computed polymorphs: 0.00 eV per formula unit.

***

No. 3
## Cu2GeAs (PBE)

Data for Cu2GeAs after structural relaxation.

Cell lengths 4.1083, 4.1083, 8.3817 Å; angles 75.81, 75.81, 90.00 degrees
Last column: nearest neighbours and their distance in Å.
Fractional positions:
1 Cu 0.3750 0.3802 0.7500  2 Ge 2.44, 2 As 2.45
2 Cu 0.6198 0.1250 0.2500  2 Ge 2.44, 2 As 2.45
3 Cu 0.8750 0.8698 0.7500  2 Ge 2.44, 2 As 2.45
4 Cu 0.1302 0.6250 0.2500  2 Ge 2.44, 2 As 2.45
5 As 0.0000 0.0000 0.0000  4 Cu 2.45
6 As 0.7500 0.2500 0.5000  4 Cu 2.45
7 Ge 0.5000 0.5000 0.0000  4 Cu 2.44
8 Ge 0.2500 0.7500 0.5000  4 Cu 2.44

Results
As for the space group: I-42d, No. 122. As for the calculated density: 6.87 Mg/m³. As for the density of states at the Fermi level: 4.11 states/eV/cell. Its magnetic moment is 0.0 Bohr magnetons per cell. The value obtained for the formation enthalpy at 0 K is 138 meV/atom. As for the relative energy among the computed polymorphs: 0.00 eV per formula unit.

***

No. 4
## RbSCl2 (PBE)

Data for RbSCl2 after structural relaxation.

Cell lengths 7.7908, 7.7908, 7.7908 Å; angles 40.58, 40.58, 40.58 degrees
Last column: nearest neighbours and their distance in Å.
Fractional positions:
1 S 0.0000 0.0000 0.0000  2 Cl 2.30
2 Rb 0.5000 0.5000 0.5000  6 Cl 3.37
3 Cl 0.1073 0.1073 0.1073  1 S 2.30
4 Cl 0.8927 0.8927 0.8927  1 S 2.30

Results
As for the space group: R-3m, No. 166. As for the calculated density: 1.73 Mg/m³. As for the density of states at the Fermi level: 5.05 states/eV/cell. Its magnetic moment is 1.0 Bohr magnetons per cell. As for the uncorrected formation energy: -15.7 kcal/mol of atoms. As for the relative energy among the computed polymorphs: 0.00 eV per formula unit.

***

No. 5
## ThPb3 (PBE)

Data for ThPb3 after structural relaxation.

Cell lengths 4.6981, 4.6981, 6.3790 Å; angles 111.61, 111.61, 90.00 degrees
Last column: nearest neighbours and their distance in Å.
Fractional positions:
1 Pb 0.5000 0.5000 0.0000  4 Th 3.32, 8 Pb 3.60
2 Pb 0.7500 0.2500 0.5000  8 Pb 3.32-3.60, 4 Th 3.60
3 Pb 0.2500 0.7500 0.5000  8 Pb 3.32-3.60, 4 Th 3.60
4 Th 0.0000 0.0000 0.0000  12 Pb 3.32-3.60

Results
As for the space group: I4/mmm, No. 139. As for the calculated density: 11.79 Mg/m³. As for the density of states at the Fermi level: 3.64 states/eV/cell. Its magnetic moment is 0.0 Bohr magnetons per cell. The value obtained for the formation enthalpy at 0 K is -178 meV/atom. As for the relative energy among the computed polymorphs: 0.21 eV per formula unit.

***

No. 6
## Cd2InRu (PBE)

Data for Cd2InRu after structural relaxation.

Cell lengths 6.8092, 6.8092, 4.5009 Å; angles 70.71, 70.71, 25.90 degrees
Last column: nearest neighbours and their distance in Å.
Fractional positions:
1 In 0.7500 0.7500 0.7500  4 Ru 2.72
2 Ru 0.2500 0.2500 0.2500  4 In 2.72, 4 Cd 2.82
3 Cd 0.5603 0.5603 0.4398  2 Ru 2.82, 6 Cd 3.05-3.11
4 Cd 0.9397 0.9397 0.0602  2 Ru 2.82, 6 Cd 3.05-3.11

Results
As for the space group: Immm, No. 71. As for the calculated density: 8.53 Mg/m³. As for the density of states at the Fermi level: 2.42 states/eV/cell. Its magnetic moment is 0.2 Bohr magnetons per cell. The value obtained for the formation enthalpy at 0 K is 86 meV/atom. As for the relative energy among the computed polymorphs: 0.00 eV per formula unit.